A plane-wave DFT calculation with PBEsol was carried out for Ti2CoTe after structural relaxation.

Calculated values
space group: I-42d (122)
formation energy from raw total energies: -0.145 eV/atom
DOS at the Fermi energy: 2.6 states/eV/f.u.

abc: 5.4230 5.6372 5.6372
angles: 76.62 61.25 61.25
Sites, in units of the cell vectors:
Te: 0.7500 0.5000 0.5000
Te: 0.0000 0.0000 0.0000
Co: 0.2500 0.5000 0.5000
Co: 0.5000 0.0000 0.0000
Ti: 0.1771 0.9479 0.4479
Ti: 0.5729 0.0521 0.5521
Ti: 0.3750 0.4479 0.0521
Ti: 0.8750 0.5521 0.9479

A plane-wave DFT calculation with PBEsol was carried out for TlCo2Te after structural relaxation.

Calculated values
space group: P4/mmm (123)
formation energy from raw total energies: 0.488 eV/atom
DOS at the Fermi energy: 3.9 states/eV/f.u.

abc: 3.2211 4.4803 4.4803
angles: 90.00 90.00 90.00
Site moments in Bohr magnetons follow the coordinates.
Sites, in units of the cell vectors:
Tl: 0.5000 0.0000 0.0000  -0.02
Te: 0.5000 0.5000 0.5000  0.00
Co: 0.0000 0.0000 0.5000  0.88
Co: 0.0000 0.5000 0.0000  0.88

A plane-wave DFT calculation with PBEsol was carried out for Tl2CoTe after structural relaxation.

Calculated values
space group: Cm (8)
formation energy from raw total energies: 0.099 eV/atom
DOS at the Fermi energy: 2.8 states/eV/f.u.

abc: 3.7802 3.7639 7.9964
angles: 103.71 90.00 120.14
Sites, in units of the cell vectors:
Co: 0.4934 0.9869 0.4809
Te: 0.7777 0.5555 0.3337
Tl: 0.9989 0.9978 0.9963
Tl: 0.2299 0.4599 0.6890

A plane-wave DFT calculation with PBEsol was carried out for TlCoTe after structural relaxation.

Calculated values
space group: F-43m (216)
formation energy from raw total energies: 0.786 eV/atom
DOS at the Fermi energy: 5.3 states/eV/f.u.

abc: 4.8056 4.8056 4.8056
angles: 60.00 60.00 60.00
Site moments in Bohr magnetons follow the coordinates.
Sites, in units of the cell vectors:
Co: 0.5000 0.5000 0.5000  1.83
Te: 0.7500 0.7500 0.7500  0.07
Tl: 0.0000 0.0000 0.0000  0.02